# Ni6GeAs

Crystalline Ni6GeAs at its relaxed geometry (GGA-PBE, Alexandria via LeMat-Bulk).

It has space group P4/mmm (No. 123), with a = 5.075 Å, b = 5.075 Å, c = 3.573 Å, α = 90.00°, β = 90.00° and γ = 90.00°. Symmetry generates all atoms from Ni at (0.000, 0.500, 0.000), Ni at (0.249, 0.249, 0.500), Ge at (0.000, 0.000, 0.000) and As at (0.500, 0.500, 0.000).

Its total energy is -45.79 eV per cell. The calculation puts the total magnetization at 0.00 μB/f.u. Its calculated volume is 92 Å³/cell.